[1]
# SCAN YSnPIr2, single point on PBEsol structure
# DFT formation energy, eV per atom: 2.021
# V, Å³ per cell: 129.9
data_YSnPIr2
_chemical_formula_sum 'Y1 Sn1 P1 Ir2'
_cell_length_a 4.858
_cell_length_b 4.858
_cell_length_c 5.505
_cell_angle_alpha 90.00
_cell_angle_beta 90.00
_cell_angle_gamma 90.00
_symmetry_space_group_name_H-M 'P 4/m m m'
_symmetry_Int_Tables_number 123
_symmetry_space_group_name_Hall '-P 4 2'
loop_
_atom_site_label
_atom_site_fract_x
_atom_site_fract_y
_atom_site_fract_z
Y1 0.000 0.000 0.000
Sn1 0.000 0.000 0.500
P1 0.500 0.500 0.500
Ir1 0.000 0.500 0.000


[2]
# SCAN HfGaTeN2, single point on PBEsol structure
# E_tot, eV per atom: -26.7870
# V, Å³ per cell: 97.9
data_HfGaTeN2
_chemical_formula_sum 'Hf1 Ga1 Te1 N2'
_cell_length_a 4.080
_cell_length_b 4.080
_cell_length_c 5.884
_cell_angle_alpha 90.00
_cell_angle_beta 90.00
_cell_angle_gamma 90.00
_symmetry_space_group_name_H-M 'P 4/m m m'
_symmetry_Int_Tables_number 123
_symmetry_space_group_name_Hall '-P 4 2'
loop_
_atom_site_label
_atom_site_fract_x
_atom_site_fract_y
_atom_site_fract_z
Hf1 0.000 0.000 0.000
Ga1 0.500 0.500 0.500
Te1 0.000 0.000 0.500
N1 0.000 0.500 0.000


[3]
# SCAN Li3CdTe, single point on PBEsol structure
# E_tot, eV per atom: -15.3664
# V, Å³ per cell: 137.2
data_Li3CdTe
_chemical_formula_sum 'Li3 Cd1 Te1'
_cell_length_a 5.158
_cell_length_b 5.158
_cell_length_c 5.158
_cell_angle_alpha 90.00
_cell_angle_beta 90.00
_cell_angle_gamma 90.00
_symmetry_space_group_name_H-M 'P m -3 m'
_symmetry_Int_Tables_number 221
_symmetry_space_group_name_Hall '-P 4 2 3'
loop_
_atom_site_label
_atom_site_fract_x
_atom_site_fract_y
_atom_site_fract_z
Li1 0.000 0.000 0.500
Cd1 0.500 0.500 0.500
Te1 0.000 0.000 0.000


[4]
# SCAN BeRe2Ir, single point on PBEsol structure
# DFT formation energy, eV per atom: -0.159
# V, Å³ per cell: 103.5
data_BeRe2Ir
_chemical_formula_sum 'Be2 Re4 Ir2'
_cell_length_a 2.895
_cell_length_b 4.223
_cell_length_c 8.467
_cell_angle_alpha 90.00
_cell_angle_beta 90.00
_cell_angle_gamma 90.00
_symmetry_space_group_name_H-M 'I m m m'
_symmetry_Int_Tables_number 71
_symmetry_space_group_name_Hall '-I 2 2'
loop_
_atom_site_label
_atom_site_fract_x
_atom_site_fract_y
_atom_site_fract_z
Be1 0.000 0.000 0.000
Re1 0.000 0.500 0.270
Ir1 0.000 0.000 0.500


Number 1: magnetic moment 0.2890 μB per atom. Number 2: magnetic moment 0.3326 μB per atom. Number 3: magnetic moment 0.0008 μB per atom. Number 4: magnetic moment 0.0000 μB per atom.